# 1
Density functional theory data (PBE) for a relaxed Na2TlAsSe4 crystal.

Lattice parameters (Å, degrees): 8.126 8.333 11.688 90.00 90.00 90.00
Space group Imma (No. 74)
Asymmetric unit:
Na (0.000, 0.000, 0.000)
Na (0.250, 0.250, 0.250)
Tl (0.000, 0.000, 0.500)
As (0.250, 0.250, 0.750)
Se (0.000, 0.024, 0.750)
Se (0.242, 0.250, 0.513)

Results
VASP energy   -110.14 eV/cell
Magnetization   0.00 μB per formula unit
ΔE_f (raw)   -493 meV per atom
Density of states at the Fermi level   0.368 states/eV/atom


# 2
Density functional theory data (PBE) for a relaxed NaTlAsSe2 crystal.

Lattice parameters (Å, degrees): 5.323 5.323 5.131 90.00 90.00 90.00
Space group P4/mmm (No. 123)
Asymmetric unit:
Na (0.000, 0.000, 0.000)
Tl (0.500, 0.500, 0.500)
As (0.000, 0.000, 0.500)
Se (0.000, 0.500, 0.000)

Results
Energy above the lowest structure with this stoichiometry   156 meV per atom
VASP energy   -12.91 eV/cell
Magnetization   0.00 μB per formula unit
ΔE_f (raw)   479 meV per atom
Density of states at the Fermi level   1.354 states/eV/atom


# 3
Density functional theory data (PBE) for a relaxed NaTlAsSe3 crystal.

Lattice parameters (Å, degrees): 7.102 4.422 11.651 90.00 92.93 90.00
Space group P2_1/m (No. 11)
Asymmetric unit:
Na (0.215, 0.250, 0.182)
Tl (0.270, 0.750, 0.569)
As (0.231, 0.250, 0.827)
Se (0.012, 0.750, 0.324)
Se (0.196, 0.750, 0.929)
Se (0.481, 0.750, 0.267)

Results
VASP energy   -42.57 eV/cell
Magnetization   0.00 μB per formula unit
ΔE_f (raw)   -416 meV per atom
Density of states at the Fermi level   0.140 states/eV/atom